[1]
Computed, not measured: a relaxed structure of CaTa2Fe at the PBE level of DFT.

abc: 2.949 2.949 8.879
angles: 90.00 90.00 90.00
Element x y z (fractional)
Ca: 0.000 0.000 0.000
Ta: 0.500 0.500 0.319
Ta: 0.500 0.500 0.681
Fe: 0.000 0.000 0.500

Computed properties:
Its energy relative to the elements is 0.40 eV per atom. Its space group is No. 123. For the density of states at the Fermi level, the calculation gives 4.56 states/eV/f.u. For the distance to the lowest polymorph of the same formula, the calculation gives 100 meV/atom.

---

[2]
Computed, not measured: a relaxed structure of Y14HoTm at the PBE level of DFT.

abc: 7.130 7.130 10.053
angles: 90.00 90.00 90.00
Element x y z (fractional)
Y: 0.000 0.000 0.000
Y: 0.000 0.500 0.000
Y: 0.000 0.500 0.500
Y: 0.250 0.250 0.251
Y: 0.250 0.250 0.749
Y: 0.250 0.750 0.251
Y: 0.250 0.750 0.749
Y: 0.500 0.000 0.000
Y: 0.500 0.000 0.500
Y: 0.500 0.500 0.000
Y: 0.750 0.250 0.251
Y: 0.750 0.250 0.749
Y: 0.750 0.750 0.251
Y: 0.750 0.750 0.749
Ho: 0.000 0.000 0.500
Tm: 0.500 0.500 0.500

Computed properties:
Its energy relative to the elements is 0.02 eV per atom. Its space group is No. 123. For the density of states at the Fermi level, the calculation gives 21.58 states/eV/f.u.

---

The highest energy relative to the elements belongs to which entry? CaTa2Fe

---

Which of these has the highest energy relative to the elements? CaTa2Fe

---

What is the formula in the second record? Y14HoTm